# Tb3Nd2Cd4 PBE optimized geometry
data_Tb3Nd2Cd4
_cell_length_a 9.926
_cell_length_b 9.926
_cell_length_c 8.264
_cell_angle_alpha 90.00
_cell_angle_beta 90.00
_cell_angle_gamma 139.66
_space_group_name_H-M_alt 'P 1'
_space_group_IT_number 1
loop_
_space_group_symop_operation_xyz
'x,y,z'
loop_
_atom_site_label
_atom_site_type_symbol
_atom_site_fract_x
_atom_site_fract_y
_atom_site_fract_z
_atom_site_occupancy
Tb1 Tb 0.000 0.000 0.000 1
Tb2 Tb 0.004 0.496 0.250 1
Tb3 Tb 0.496 0.004 0.750 1
Tb4 Tb 0.500 0.500 0.500 1
Tb5 Tb 0.504 0.996 0.250 1
Tb6 Tb 0.996 0.504 0.750 1
Nd1 Nd 0.092 0.908 0.401 1
Nd2 Nd 0.408 0.592 0.901 1
Nd3 Nd 0.592 0.408 0.099 1
Nd4 Nd 0.908 0.092 0.599 1
Cd1 Cd 0.162 0.838 0.013 1
Cd2 Cd 0.175 0.325 0.250 1
Cd3 Cd 0.325 0.175 0.750 1
Cd4 Cd 0.338 0.662 0.513 1
Cd5 Cd 0.662 0.338 0.487 1
Cd6 Cd 0.675 0.825 0.250 1
Cd7 Cd 0.825 0.675 0.750 1
Cd8 Cd 0.838 0.162 0.987 1
# DFT formation energy: -0.165 eV per atom
# DOS at the Fermi energy: 17.8 states/eV/cell

***

# TbNdCd PBE optimized geometry
data_TbNdCd
_cell_length_a 7.965
_cell_length_b 6.773
_cell_length_c 5.870
_cell_angle_alpha 77.74
_cell_angle_beta 56.20
_cell_angle_gamma 46.07
_space_group_name_H-M_alt 'P 1'
_space_group_IT_number 1
loop_
_space_group_symop_operation_xyz
'x,y,z'
loop_
_atom_site_label
_atom_site_type_symbol
_atom_site_fract_x
_atom_site_fract_y
_atom_site_fract_z
_atom_site_occupancy
Tb1 Tb 0.136 0.136 0.864 1
Tb2 Tb 0.864 0.864 0.136 1
Nd1 Nd 0.334 0.666 0.334 1
Nd2 Nd 0.666 0.334 0.666 1
Cd1 Cd 0.250 0.250 0.250 1
Cd2 Cd 0.750 0.750 0.750 1
# Relative energy among the computed polymorphs: 95 meV per atom
# DFT formation energy: -0.124 eV per atom
# DOS at the Fermi energy: 6.4 states/eV/cell

***

# Tb2Nd2Cd15 PBE optimized geometry
data_Tb2Nd2Cd15
_cell_length_a 7.914
_cell_length_b 7.914
_cell_length_c 7.914
_cell_angle_alpha 78.75
_cell_angle_beta 78.75
_cell_angle_gamma 78.75
_space_group_name_H-M_alt 'P 1'
_space_group_IT_number 1
loop_
_space_group_symop_operation_xyz
'x,y,z'
loop_
_atom_site_label
_atom_site_type_symbol
_atom_site_fract_x
_atom_site_fract_y
_atom_site_fract_z
_atom_site_occupancy
Tb1 Tb 0.095 0.095 0.095 1
Tb2 Tb 0.905 0.905 0.905 1
Nd1 Nd 0.324 0.324 0.324 1
Nd2 Nd 0.676 0.676 0.676 1
Cd1 Cd 0.000 0.000 0.500 1
Cd2 Cd 0.000 0.296 0.704 1
Cd3 Cd 0.000 0.500 0.000 1
Cd4 Cd 0.000 0.704 0.296 1
Cd5 Cd 0.151 0.629 0.629 1
Cd6 Cd 0.296 0.000 0.704 1
Cd7 Cd 0.296 0.704 0.000 1
Cd8 Cd 0.371 0.371 0.849 1
Cd9 Cd 0.371 0.849 0.371 1
Cd10 Cd 0.500 0.000 0.000 1
Cd11 Cd 0.629 0.151 0.629 1
Cd12 Cd 0.629 0.629 0.151 1
Cd13 Cd 0.704 0.000 0.296 1
Cd14 Cd 0.704 0.296 0.000 1
Cd15 Cd 0.849 0.371 0.371 1
# DFT formation energy: -0.138 eV per atom
# DOS at the Fermi energy: 11.2 states/eV/cell

***

# TbNd7Cd4 PBE optimized geometry
data_TbNd7Cd4
_cell_length_a 8.095
_cell_length_b 8.095
_cell_length_c 10.005
_cell_angle_alpha 119.65
_cell_angle_beta 119.65
_cell_angle_gamma 42.52
_space_group_name_H-M_alt 'P 1'
_space_group_IT_number 1
loop_
_space_group_symop_operation_xyz
'x,y,z'
loop_
_atom_site_label
_atom_site_type_symbol
_atom_site_fract_x
_atom_site_fract_y
_atom_site_fract_z
_atom_site_occupancy
Tb1 Tb 0.000 0.000 0.000 1
Nd1 Nd 0.070 0.070 0.409 1
Nd2 Nd 0.204 0.204 0.883 1
Nd3 Nd 0.263 0.263 0.306 1
Nd4 Nd 0.500 0.500 0.000 1
Nd5 Nd 0.737 0.737 0.694 1
Nd6 Nd 0.796 0.796 0.117 1
Nd7 Nd 0.930 0.930 0.591 1
Cd1 Cd 0.319 0.319 0.657 1
Cd2 Cd 0.459 0.459 0.287 1
Cd3 Cd 0.541 0.541 0.713 1
Cd4 Cd 0.681 0.681 0.343 1
# DFT formation energy: -0.027 eV per atom
# DOS at the Fermi energy: 14.5 states/eV/cell

***

What did the second record say?
# TbNdCd PBE optimized geometry
data_TbNdCd
_cell_length_a 7.965
_cell_length_b 6.773
_cell_length_c 5.870
_cell_angle_alpha 77.74
_cell_angle_beta 56.20
_cell_angle_gamma 46.07
_space_group_name_H-M_alt 'P 1'
_space_group_IT_number 1
loop_
_space_group_symop_operation_xyz
'x,y,z'
loop_
_atom_site_label
_atom_site_type_symbol
_atom_site_fract_x
_atom_site_fract_y
_atom_site_fract_z
_atom_site_occupancy
Tb1 Tb 0.136 0.136 0.864 1
Tb2 Tb 0.864 0.864 0.136 1
Nd1 Nd 0.334 0.666 0.334 1
Nd2 Nd 0.666 0.334 0.666 1
Cd1 Cd 0.250 0.250 0.250 1
Cd2 Cd 0.750 0.750 0.750 1
# Relative energy among the computed polymorphs: 95 meV per atom
# DFT formation energy: -0.124 eV per atom
# DOS at the Fermi energy: 6.4 states/eV/cell